[1]
An optimized crystal structure of BaLaAsSe2. Source: Alexandria via LeMat-Bulk, functional GGA-PBE.

Cell and atoms, written as POSCAR:
```
BaLaAsSe2
1.0
5.763 0.000 0.000
0.000 5.763 0.000
0.000 0.000 5.566
As Ba Se La
1 1 2 1
Direct
0.000 0.000 0.500
0.000 0.000 0.000
0.000 0.500 0.000
0.500 0.000 0.000
0.500 0.500 0.500
```

As for the formation energy from raw total energies: -1.34 eV per formula unit. The magnetic moment comes out at 0.028 μB/atom. The calculation puts the electronic total energy at -3.9626 eV/atom.

[2]
An optimized crystal structure of BaLaAsSe2. Source: Alexandria via LeMat-Bulk, functional GGA-PBE.

Cell and atoms, written as POSCAR:
```
BaLaAsSe2
1.0
-1.100 4.418 3.495
-5.342 -1.949 0.781
1.749 -3.035 4.387
As Ba Se La
1 1 2 1
Direct
0.000 0.000 0.500
0.500 0.500 0.500
0.000 0.500 0.000
0.500 0.000 0.000
0.000 0.000 0.000
```

As for the formation energy from raw total energies: -5.43 eV per formula unit. The magnetic moment comes out at 0.032 μB/atom. The calculation puts the electronic total energy at -4.7796 eV/atom.

[3]
An optimized crystal structure of BaLaAs2Se. Source: Alexandria via LeMat-Bulk, functional GGA-PBE.

Cell and atoms, written as POSCAR:
```
BaLaAs2Se
1.0
-4.855 1.952 -2.142
-2.420 -0.429 5.092
1.620 5.371 1.223
As Ba Se La
2 1 1 1
Direct
0.000 0.500 0.000
0.500 0.000 0.000
0.500 0.500 0.500
0.000 0.000 0.500
0.000 0.000 0.000
```

As for the formation energy from raw total energies: -3.56 eV per formula unit. The magnetic moment comes out at 0.000 μB/atom. The calculation puts the electronic total energy at -4.6391 eV/atom.

[4]
An optimized crystal structure of BaLaTeAs2. Source: Alexandria via LeMat-Bulk, functional GGA-PBE.

Cell and atoms, written as POSCAR:
```
BaLaTeAs2
1.0
-4.608 0.273 2.826
-1.869 -6.468 -2.423
2.462 -2.298 4.237
As Te Ba La
2 1 1 1
Direct
0.000 0.000 0.500
0.500 0.000 0.000
0.500 0.500 0.500
0.000 0.000 0.000
0.000 0.500 0.000
```

As for the formation energy from raw total energies: 3.35 eV per formula unit. The magnetic moment comes out at 0.000 μB/atom. The calculation puts the electronic total energy at -3.1884 eV/atom.

[5]
An optimized crystal structure of BaLa2TiAs. Source: Alexandria via LeMat-Bulk, functional GGA-PBE.

Cell and atoms, written as POSCAR:
```
BaLa2TiAs
1.0
5.746 0.000 0.000
0.000 6.195 0.000
0.000 0.000 5.746
As Ti Ba La
1 1 1 2
Direct
0.000 0.000 0.000
0.500 0.500 0.500
0.000 0.500 0.000
0.000 0.000 0.500
0.500 0.000 0.000
```

The magnetic moment comes out at 0.027 μB/atom. As for the energy of formation from the pure elements: 92 kJ/mol of formula units. The calculation puts the electronic total energy at -4.6736 eV/atom.

[6]
An optimized crystal structure of Ba2LaUAs4. Source: Alexandria via LeMat-Bulk, functional GGA-PBE.

Cell and atoms, written as POSCAR:
```
Ba2LaUAs4
1.0
-2.702 3.471 -0.533
-5.123 -3.276 4.637
4.876 4.460 4.332
Ba La U As
2 1 1 4
Direct
0.500 0.000 0.500
0.000 0.500 0.500
0.000 0.000 0.000
0.500 0.500 0.000
0.500 0.258 0.208
0.500 0.742 0.792
0.000 0.283 0.798
0.000 0.717 0.202
```

The magnetic moment comes out at 0.125 μB/atom. As for the energy of formation from the pure elements: -856 kJ/mol of formula units. The calculation puts the electronic total energy at -5.9411 eV/atom.

[7]
An optimized crystal structure of Ba3La2UAs6. Source: Alexandria via LeMat-Bulk, functional GGA-PBE.

Cell and atoms, written as POSCAR:
```
Ba3La2UAs6
1.0
7.691 0.001 -0.001
-3.843 6.662 -0.001
-1.285 -2.225 7.500
Ba La U As
3 2 1 6
Direct
0.171 0.829 0.500
0.829 0.171 0.500
0.500 0.500 0.500
0.334 0.666 0.000
0.666 0.334 0.000
0.000 0.000 0.000
0.931 0.624 0.793
0.764 0.764 0.208
0.069 0.376 0.207
0.624 0.931 0.793
0.236 0.236 0.792
0.376 0.069 0.207
```

The magnetic moment comes out at 0.000 μB/atom. As for the energy of formation from the pure elements: -1373 kJ/mol of formula units. The calculation puts the electronic total energy at -5.7528 eV/atom.

[8]
An optimized crystal structure of Ba2LiAs. Source: Alexandria via LeMat-Bulk, functional GGA-PBE.

Cell and atoms, written as POSCAR:
```
Ba2LiAs
1.0
8.457 0.081 -0.008
5.973 5.988 0.008
-7.157 -3.170 3.201
As Ba Li
1 2 1
Direct
0.337 0.837 0.500
0.995 0.995 0.000
0.753 0.253 0.500
0.415 0.415 0.000
```

The magnetic moment comes out at 0.011 μB/atom. As for the energy of formation from the pure elements: -227 kJ/mol of formula units. The calculation puts the electronic total energy at -3.1912 eV/atom.